Mg2GaTeO6: relaxed, PBE.

a b c (Å): 5.240 5.240 4.946
angles (deg): 90.00 90.00 90.00
Space group P4mm (No. 99)
Unique sites:
Mg (0.000, 0.500, 0.000) x2
Ga (0.000, 0.000, 0.625) x1
Te (0.500, 0.500, 0.640) x1
O (0.000, 0.000, 0.263) x1
O (0.247, 0.247, 0.796) x4
O (0.500, 0.500, 0.253) x1

Calculated values
- raw formation energy (eV/atom) = -1.548
- total magnetization (μB/cell) = 0.00
- E_tot (eV/cell) = -54.59
- N(E_F) (states/eV per atom) = 0.204


Pr4RhSeI2: relaxed, PBE.

a b c (Å): 7.741 4.180 8.232
angles (deg): 90.00 106.76 90.00
Space group P2/m (No. 10)
Unique sites:
Pr (0.207, 0.000, 0.190) x2
Pr (0.260, 0.500, 0.802) x2
Rh (0.000, 0.500, 0.000) x1
Se (0.500, 0.000, 0.000) x1
I (0.000, 0.000, 0.500) x1
I (0.500, 0.500, 0.500) x1

Calculated values
- raw formation energy (eV/atom) = -1.128
- total magnetization (μB/cell) = 0.00
- E_tot (eV/cell) = -42.08
- N(E_F) (states/eV per atom) = 0.672


Q: Which of these has the lowest E_tot?
A: Mg2GaTeO6


Q: Which formula does entry 2 have?
A: Pr4RhSeI2


Q: What is the formula in the first record?
A: Mg2GaTeO6


Q: Which value of N(E_F) does entry 2 give?
A: 0.672 states/eV per atom